The following is a DFT calculation (PBE with a Hubbard U) of crystalline Tl2CrO at its relaxed geometry.

As for the energy above the lowest structure with this stoichiometry: 0.00 eV/f.u. For the total magnetization, the calculation gives 4.826 μB per formula unit. As for the space group: I-42d (122). The density of states at the Fermi level comes out at 2.73 states/eV/cell. The value obtained for the theoretical density is 9.1 g cm⁻³.

Cell lengths 7.256, 7.256, 6.094 Å; angles 53.47, 53.47, 90.00 degrees
Element x y z (fractional)
1 Tl 0.184 0.625 0.250
2 O 0.250 0.750 0.500
3 Tl 0.875 0.816 0.750
4 Cr 0.750 0.250 0.500
5 Tl 0.566 0.125 0.250
6 Tl 0.375 0.434 0.750
7 O 0.500 0.500 0.000
8 Cr 0.000 0.000 0.000